(1)
Entry from the Alexandria database: La2Y2Ir after structural relaxation (PBE).

Output
Its distance to the lowest polymorph of the same formula is 67 meV per atom. For the magnetization, the calculation gives 0.00 μB per formula unit. As for the total energy: -64.2 eV for the cell shown. The calculated volume comes out at 30.806 Å³/atom.

Cell: 7.3522 7.3522 5.6992 Å, 90.00 90.00 90.00°
Last column: nearest neighbours and their distance in Å.
Atoms (fractional coordinates):
Y 0.1658 0.6658 0.5000  6 La 3.39-3.71, 1 Y 3.45
Y 0.6658 0.8342 0.5000  6 La 3.39-3.71, 1 Y 3.45
Y 0.8342 0.3342 0.5000  6 La 3.39-3.71, 1 Y 3.45
Y 0.3342 0.1658 0.5000  6 La 3.39-3.71, 1 Y 3.45
Ir 0.0000 0.0000 0.0000  4 La 2.77
Ir 0.5000 0.5000 0.0000  4 La 2.77
La 0.3429 0.8429 0.0000  2 Ir 2.77
La 0.8429 0.6571 0.0000  2 Ir 2.77
La 0.6571 0.1571 0.0000  2 Ir 2.77
La 0.1571 0.3429 0.0000  2 Ir 2.77



(2)
Entry from the Alexandria database: La12Ru2Pb5 after structural relaxation (PBE).

Output
For the magnetization, the calculation gives 1.41 μB per formula unit. As for the total energy: -102.6 eV for the cell shown. The calculated volume comes out at 37.976 Å³/atom.

Cell: 8.0103 9.9250 10.3396 Å, 104.96 90.00 113.80°
Last column: nearest neighbours and their distance in Å.
Atoms (fractional coordinates):
La 0.9992 0.9984 0.1768  2 Ru 2.95
La 0.1091 0.6882 0.9233  1 Ru 2.72
La 0.5792 0.6882 0.9233  1 Ru 2.72
La 0.0992 0.7021 0.4266  4 Pb 3.27-3.34
La 0.6030 0.7021 0.4266  4 Pb 3.27-3.34
La 0.4983 0.9967 0.7709  2 Ru 2.90
La 0.5017 0.0033 0.2291  2 Ru 2.90
La 0.9008 0.2979 0.5734  4 Pb 3.27-3.34
La 0.3970 0.2979 0.5734  4 Pb 3.27-3.34
La 0.8909 0.3118 0.0767  1 Ru 2.72
La 0.4208 0.3118 0.0767  1 Ru 2.72
La 0.0008 0.0016 0.8232  2 Ru 2.95
Ru 0.7113 0.0000 0.0000  6 La 2.72-2.95
Ru 0.2887 0.0000 0.0000  6 La 2.72-2.95
Pb 0.3032 0.6064 0.6410  7 La 3.29-3.42
Pb 0.3080 0.6161 0.1673  7 La 3.27-3.40
Pb 0.0000 0.0000 0.5000  6 La 3.27-3.34
Pb 0.6919 0.3839 0.8327  7 La 3.27-3.40
Pb 0.6968 0.3936 0.3590  7 La 3.29-3.42



(3)
Entry from the Alexandria database: YMn4Cu after structural relaxation (PBE).

Output
For the magnetization, the calculation gives 0.00 μB per formula unit. As for the total energy: -45.4 eV for the cell shown. The calculated volume comes out at 13.776 Å³/atom.

Cell: 4.8895 4.8895 4.8895 Å, 60.00 60.00 60.00°
Last column: nearest neighbours and their distance in Å.
Atoms (fractional coordinates):
Y 0.2500 0.2500 0.2500  12 Mn 2.87, 4 Cu 2.99
Mn 0.6273 0.6273 0.1181  6 Mn 2.40-2.49
Mn 0.6273 0.1181 0.6273  6 Mn 2.40-2.49
Mn 0.6273 0.6273 0.6273  6 Mn 2.40-2.49
Mn 0.1181 0.6273 0.6273  6 Mn 2.40-2.49
Cu 0.0000 0.0000 0.0000  12 Mn 2.86, 4 Y 2.99



(4)
Entry from the Alexandria database: LiNiAg2Os after structural relaxation (PBE).

Output
For the magnetization, the calculation gives 1.99 μB per formula unit. As for the total energy: -18.5 eV for the cell shown. The calculated volume comes out at 15.650 Å³/atom.

Cell: 4.2055 4.4244 4.2055 Å, 90.00 90.00 90.00°
Last column: nearest neighbours and their distance in Å.
Atoms (fractional coordinates):
Ni 0.5000 0.5000 0.5000  4 Os 2.97, 8 Ag 3.05
Os 0.0000 0.5000 0.0000  2 Li 2.21
Ag 0.0000 0.0000 0.5000  2 Li 2.10
Ag 0.5000 0.0000 0.0000  2 Li 2.10
Li 0.0000 0.0000 0.0000  4 Ag 2.10, 2 Os 2.21



(5)
Entry from the Alexandria database: K3ErNp2O9 after structural relaxation (PBE).

Output
For the magnetization, the calculation gives 2.00 μB per formula unit. The formation energy without anion corrections comes out at -40.99 eV/f.u. As for the total energy: -119.4 eV for the cell shown. The calculated volume comes out at 15.702 Å³/atom.

Cell: 6.0544 6.0544 7.4195 Å, 90.00 90.00 120.00°
Last column: nearest neighbours and their distance in Å.
Atoms (fractional coordinates):
K 0.3333 0.6667 0.6620  12 O 3.01-3.06
K 0.0000 0.0000 0.0000  12 O 3.02-3.03
K 0.6667 0.3333 0.3380  12 O 3.01-3.06
Er 0.0000 0.0000 0.5000  6 O 2.25
Np 0.3333 0.6667 0.1681  6 O 2.03-2.15
Np 0.6667 0.3333 0.8319  6 O 2.03-2.15
O 0.8257 0.1743 0.6764  1 Np 2.03, 1 Er 2.25
O 0.8257 0.6513 0.6764  1 Np 2.03, 1 Er 2.25
O 0.3487 0.1743 0.6764  1 Np 2.03, 1 Er 2.25
O 0.6513 0.8257 0.3236  1 Np 2.03, 1 Er 2.25
O 0.1743 0.3487 0.3236  1 Np 2.03, 1 Er 2.25
O 0.1743 0.8257 0.3236  1 Np 2.03, 1 Er 2.25
O 0.5000 0.0000 0.0000  2 Np 2.15
O 0.0000 0.5000 0.0000  2 Np 2.15
O 0.5000 0.5000 0.0000  2 Np 2.15



(6)
Entry from the Alexandria database: La5MoN6 after structural relaxation (PBE).

Output
For the magnetization, the calculation gives 0.31 μB per formula unit. The formation energy without anion corrections comes out at -12.97 eV/f.u. As for the total energy: -98.4 eV for the cell shown. The calculated volume comes out at 16.351 Å³/atom.

Cell: 6.1899 6.2339 6.2299 Å, 59.98 80.39 70.51°
Last column: nearest neighbours and their distance in Å.
Atoms (fractional coordinates):
La 0.5000 0.1623 0.6754  4 N 2.48-2.55
La 0.0000 0.3328 0.3345  6 N 2.56-2.59
La 0.5000 0.5000 0.0000  6 N 2.55-2.77
La 0.0000 0.6672 0.6655  6 N 2.56-2.59
La 0.5000 0.8377 0.3246  4 N 2.48-2.55
Mo 0.0000 0.0000 0.0000  6 N 2.20-2.31
N 0.7831 0.0733 0.2872  1 Mo 2.20
N 0.2169 0.6395 0.2872  1 Mo 2.20
N 0.2348 0.2201 0.0000  1 Mo 2.31, 2 La 2.48
N 0.7652 0.7799 0.0000  1 Mo 2.31, 2 La 2.48
N 0.7831 0.3605 0.7128  1 Mo 2.20
N 0.2169 0.9267 0.7128  1 Mo 2.20



(7)
Entry from the Alexandria database: YGeSb2 after structural relaxation (PBE).

Output
For the magnetization, the calculation gives 0.00 μB per formula unit. The formation energy without anion corrections comes out at -0.56 eV/f.u. As for the total energy: -39.8 eV for the cell shown. The calculated volume comes out at 36.603 Å³/atom.

Cell: 6.8863 6.8863 7.8638 Å, 64.03 64.03 90.00°
Last column: nearest neighbours and their distance in Å.
Atoms (fractional coordinates):
Y 0.0000 0.0000 0.0000  4 Sb 3.03
Y 0.7500 0.2500 0.5000  4 Sb 3.03
Sb 0.5906 0.1250 0.2500  2 Ge 2.75, 2 Y 3.03
Sb 0.1594 0.6250 0.2500  2 Ge 2.75, 2 Y 3.03
Sb 0.3750 0.4094 0.7500  2 Ge 2.75, 2 Y 3.03
Sb 0.8750 0.8406 0.7500  2 Ge 2.75, 2 Y 3.03
Ge 0.5000 0.5000 0.0000  4 Sb 2.75
Ge 0.2500 0.7500 0.5000  4 Sb 2.75



(8)
Entry from the Alexandria database: KGaPb after structural relaxation (PBE).

Output
For the magnetization, the calculation gives 0.13 μB per formula unit. As for the total energy: -16.1 eV for the cell shown. The calculated volume comes out at 34.833 Å³/atom.

Cell: 13.3081 13.3081 13.3081 Å, 18.58 18.58 18.58°
Last column: nearest neighbours and their distance in Å.
Atoms (fractional coordinates):
Pb 0.3080 0.3080 0.3080  3 Pb 3.18
Pb 0.6920 0.6920 0.6920  3 Pb 3.18
K 0.5690 0.5690 0.5690  6 Ga 3.67, 3 Pb 3.77
K 0.4310 0.4310 0.4310  6 Ga 3.67, 3 Pb 3.77
Ga 0.1667 0.1667 0.1667  3 Ga 2.48
Ga 0.8333 0.8333 0.8333  3 Ga 2.48



(9)
Entry from the Alexandria database: BaTe5 after structural relaxation (PBE).

Output
Its distance to the lowest polymorph of the same formula is 109 meV per atom. For the magnetization, the calculation gives 0.00 μB per formula unit. The formation energy without anion corrections comes out at -2.33 eV/f.u. As for the total energy: -20.0 eV for the cell shown. The calculated volume comes out at 37.518 Å³/atom.

Cell: 12.3120 12.3120 4.2239 Å, 90.00 90.00 159.42°
Last column: nearest neighbours and their distance in Å.
Atoms (fractional coordinates):
Ba 0.0059 0.9941 0.0000  6 Te 3.41-3.61
Te 0.3279 0.6721 0.0000  6 Te 3.17-3.49
Te 0.6242 0.3758 0.0000  4 Te 3.08
Te 0.4428 0.5572 0.5000  4 Ba 3.41, 2 Te 3.49
Te 0.7917 0.2083 0.5000  4 Te 3.17
Te 0.1408 0.8592 0.5000  4 Te 3.08



(10)
Entry from the Alexandria database: LaIrCl2 after structural relaxation (PBE).

Output
Its distance to the lowest polymorph of the same formula is 555 meV per atom. For the magnetization, the calculation gives 0.00 μB per formula unit. The formation energy without anion corrections comes out at -1.73 eV/f.u. As for the total energy: -19.2 eV for the cell shown. The calculated volume comes out at 22.361 Å³/atom.

Cell: 9.0388 9.0388 9.0388 Å, 21.82 21.82 21.82°
Last column: nearest neighbours and their distance in Å.
Atoms (fractional coordinates):
Cl 0.9129 0.9129 0.9129  1 Ir 2.30
Cl 0.0871 0.0871 0.0871  1 Ir 2.30
Ir 0.0000 0.0000 0.0000  2 Cl 2.30
La 0.5000 0.5000 0.5000  6 Cl 2.89



(11)
Entry from the Alexandria database: Pm2PRh3 after structural relaxation (PBE).

Output
For the magnetization, the calculation gives 0.00 μB per formula unit. As for the total energy: -42.2 eV for the cell shown. The calculated volume comes out at 17.843 Å³/atom.

Cell: 5.0968 5.0968 5.0968 Å, 66.68 66.68 66.68°
Last column: nearest neighbours and their distance in Å.
Atoms (fractional coordinates):
Pm 0.3739 0.3739 0.3739  9 Rh 2.93-3.17, 1 Pm 2.98, 3 P 3.27
Pm 0.6261 0.6261 0.6261  9 Rh 2.93-3.17, 1 Pm 2.98, 3 P 3.27
P 0.0000 0.0000 0.0000  6 Rh 2.55
Rh 0.0000 0.0000 0.5000  2 P 2.55, 4 Rh 2.80
Rh 0.5000 0.0000 0.0000  2 P 2.55, 4 Rh 2.80
Rh 0.0000 0.5000 0.0000  2 P 2.55, 4 Rh 2.80



(12)
Entry from the Alexandria database: Na2TiTlCl8 after structural relaxation (PBE).

Output
For the magnetization, the calculation gives 0.00 μB per formula unit. The formation energy without anion corrections comes out at -16.75 eV/f.u. As for the total energy: -44.4 eV for the cell shown. The calculated volume comes out at 27.760 Å³/atom.

Cell: 6.3777 6.1735 8.4851 Å, 90.00 90.00 94.36°
Last column: nearest neighbours and their distance in Å.
Atoms (fractional coordinates):
Na 0.5000 0.5000 0.7643  6 Cl 2.74-2.98
Na 0.5000 0.5000 0.2357  6 Cl 2.74-2.98
Ti 0.0000 0.0000 0.0000  6 Cl 2.36-2.37
Tl 0.0000 0.0000 0.5000  2 Cl 2.69
Cl 0.1539 0.7954 0.1993  1 Ti 2.37
Cl 0.6988 0.7526 0.0000  1 Ti 2.36
Cl 0.8462 0.2046 0.1993  1 Ti 2.37
Cl 0.8461 0.2046 0.8007  1 Ti 2.37
Cl 0.3012 0.2474 0.0000  1 Ti 2.36
Cl 0.1538 0.7954 0.8007  1 Ti 2.37
Cl 0.6782 0.6924 0.5000  1 Tl 2.69, 2 Na 2.74
Cl 0.3218 0.3076 0.5000  1 Tl 2.69, 2 Na 2.74